The following is a SCAN calculation of a crystal of Li2TeMoO6 relaxed with PBEsol, from Alexandria.

## Properties
Formation energy from raw total energies: -19.57 eV per formula unit

Lattice parameters (Å, degrees): 5.328 13.013 8.389 90.00 125.00 90.00
Space group P2_1/c (No. 14)
Unique sites:
Li 0.038 0.068 0.235 (multiplicity 4)
Li 0.265 0.149 0.021 (multiplicity 4)
Te 0.186 0.707 0.935 (multiplicity 4)
Mo 0.474 0.092 0.755 (multiplicity 4)
O 0.144 0.058 0.750 (multiplicity 4)
O 0.188 0.693 0.702 (multiplicity 4)
O 0.228 0.250 0.196 (multiplicity 4)
O 0.308 0.020 0.159 (multiplicity 4)
O 0.329 0.095 0.509 (multiplicity 4)
O 0.332 0.653 0.462 (multiplicity 4)

---

The following is a SCAN calculation of a crystal of SiRu2 relaxed with PBEsol, from Alexandria.

## Properties
Formation energy from raw total energies: -1.30 eV per formula unit

Lattice parameters (Å, degrees): 10.074 2.818 5.619 90.00 105.63 90.00
Space group C2/m (No. 12)
Unique sites:
Si 0.145 0.000 0.044 (multiplicity 4)
Ru 0.028 0.500 0.274 (multiplicity 4)
Ru 0.191 0.000 0.646 (multiplicity 4)

---

The following is a SCAN calculation of a crystal of MnCoN2 relaxed with PBEsol, from Alexandria.

## Properties
Formation energy from raw total energies: -1.00 eV per formula unit
E above lowest polymorph: 29 meV/atom

Lattice parameters (Å, degrees): 2.9796 2.9796 14.4885 90.00 90.00 120.00
Space group R3m (No. 160, hexagonal axes)
Unique sites:
Mn 0.0000 0.0000 0.0000 (multiplicity 3)
Co 0.0000 0.0000 0.5052 (multiplicity 3)
N 0.0000 0.0000 0.3757 (multiplicity 3)
N 0.0000 0.0000 0.8796 (multiplicity 3)

---

The following is a SCAN calculation of a crystal of NiAg2SnH relaxed with PBEsol, from Alexandria.

## Properties
Energy: -23.300 eV/atom

Lattice parameters (Å, degrees): 3.846 3.846 4.807 90.00 90.00 90.00
Space group P4/mmm (No. 123)
Unique sites:
Ni 0.000 0.000 0.000 (multiplicity 1)
Ag 0.000 0.500 0.500 (multiplicity 2)
Sn 0.500 0.500 0.000 (multiplicity 1)
H 0.500 0.500 0.500 (multiplicity 1)

---

The following is a SCAN calculation of a crystal of SrTi3Mo relaxed with PBEsol, from Alexandria.

## Properties
ΔE_f: 0.57 eV/atom

Lattice parameters (Å, degrees): 4.856 4.856 4.856 90.00 90.00 90.00
Space group Pm-3m (No. 221)
Unique sites:
Sr 0.000 0.000 0.000 (multiplicity 1)
Ti 0.000 0.500 0.500 (multiplicity 3)
Mo 0.500 0.500 0.500 (multiplicity 1)

---

The following is a SCAN calculation of a crystal of LaTaOF2 relaxed with PBEsol, from Alexandria.

## Properties
Formation energy from raw total energies: -7.79 eV per formula unit

Lattice parameters (Å, degrees): 4.538 4.538 4.753 90.00 90.00 90.00
Space group P4/mmm (No. 123)
Unique sites:
La 0.000 0.000 0.000 (multiplicity 1)
Ta 0.500 0.500 0.500 (multiplicity 1)
O 0.000 0.000 0.500 (multiplicity 1)
F 0.000 0.500 0.000 (multiplicity 2)

---

The following is a SCAN calculation of a crystal of Li3MgAg relaxed with PBEsol, from Alexandria.

## Properties
ΔE_f: 0.11 eV/atom

Lattice parameters (Å, degrees): 4.812 4.812 4.812 90.00 90.00 90.00
Space group Pm-3m (No. 221)
Unique sites:
Li 0.000 0.000 0.500 (multiplicity 3)
Mg 0.500 0.500 0.500 (multiplicity 1)
Ag 0.000 0.000 0.000 (multiplicity 1)

---

The following is a SCAN calculation of a crystal of KTi2Ru relaxed with PBEsol, from Alexandria.

## Properties
ΔE_f: 0.76 eV/atom

Lattice parameters (Å, degrees): 6.511 6.511 6.511 90.00 90.00 90.00
Space group Fm-3m (No. 225)
Unique sites:
K 0.000 0.000 0.000 (multiplicity 4)
Ti 0.250 0.250 0.250 (multiplicity 8)
Ru 0.000 0.000 0.500 (multiplicity 4)

---

The following is a SCAN calculation of a crystal of NbGaSi3 relaxed with PBEsol, from Alexandria.

## Properties
Formation energy from raw total energies: 3.62 eV per formula unit

Lattice parameters (Å, degrees): 4.839 4.839 4.839 90.00 90.00 90.00
Space group Pm-3m (No. 221)
Unique sites:
Nb 0.000 0.000 0.000 (multiplicity 1)
Ga 0.500 0.500 0.500 (multiplicity 1)
Si 0.000 0.000 0.500 (multiplicity 3)

---

The following is a SCAN calculation of a crystal of Na6Si2Se7 relaxed with PBEsol, from Alexandria.

## Properties
Formation energy from raw total energies: -16.08 eV per formula unit

Lattice parameters (Å, degrees): 9.289 10.781 15.717 90.00 104.40 90.00
Space group C2/c (No. 15)
Unique sites:
Na 0.000 0.000 0.000 (multiplicity 4)
Na 0.000 0.084 0.250 (multiplicity 4)
Na 0.122 0.354 0.574 (multiplicity 8)
Na 0.227 0.219 0.859 (multiplicity 8)
Si 0.157 0.420 0.360 (multiplicity 8)
Se 0.000 0.462 0.750 (multiplicity 4)
Se 0.052 0.245 0.396 (multiplicity 8)
Se 0.129 0.124 0.679 (multiplicity 8)
Se 0.194 0.433 0.969 (multiplicity 8)

---

The following is a SCAN calculation of a crystal of Mn3BeZn relaxed with PBEsol, from Alexandria.

## Properties
ΔE_f: 0.30 eV/atom

Lattice parameters (Å, degrees): 4.014 4.014 4.014 90.00 90.00 90.00
Space group Pm-3m (No. 221)
Unique sites:
Mn 0.000 0.000 0.500 (multiplicity 3)
Be 0.000 0.000 0.000 (multiplicity 1)
Zn 0.500 0.500 0.500 (multiplicity 1)

---

The following is a SCAN calculation of a crystal of ZrUC2 relaxed with PBEsol, from Alexandria.

## Properties
ΔE_f: -0.54 eV/atom

Lattice parameters (Å, degrees): 3.3555 3.3555 16.8762 90.00 90.00 120.00
Space group R-3m (No. 166, hexagonal axes)
Unique sites:
Zr 0.0000 0.0000 0.0000 (multiplicity 3)
U 0.0000 0.0000 0.5000 (multiplicity 3)
C 0.0000 0.0000 0.2510 (multiplicity 6)

---

The following is a SCAN calculation of a crystal of ZnTcPb2 relaxed with PBEsol, from Alexandria.

## Properties
ΔE_f: 0.75 eV/atom

Lattice parameters (Å, degrees): 3.484 4.403 5.283 90.00 90.00 90.00
Space group Pmmm (No. 47)
Unique sites:
Zn 0.000 0.000 0.000 (multiplicity 1)
Tc 0.500 0.000 0.500 (multiplicity 1)
Pb 0.000 0.500 0.500 (multiplicity 1)
Pb 0.500 0.500 0.000 (multiplicity 1)

---

The following is a SCAN calculation of a crystal of Zr2TlW relaxed with PBEsol, from Alexandria.

## Properties
E above lowest polymorph: 53 meV/atom
ΔE_f: 0.09 eV/atom

Lattice parameters (Å, degrees): 3.024 4.369 6.154 90.00 99.78 90.00
Space group P2/m (No. 10)
Unique sites:
Zr 0.109 0.000 0.270 (multiplicity 2)
Tl 0.500 0.500 0.000 (multiplicity 1)
W 0.500 0.500 0.500 (multiplicity 1)

---

The following is a SCAN calculation of a crystal of Zr2CuBr relaxed with PBEsol, from Alexandria.

## Properties
Formation energy from raw total energies: -0.66 eV per formula unit
E above lowest polymorph: 0 meV/atom

Lattice parameters (Å, degrees): 10.092 3.165 4.562 90.00 90.11 90.00
Space group Cm (No. 8)
Unique sites:
Zr 0.000 0.000 0.000 (multiplicity 2)
Zr 0.224 0.500 0.504 (multiplicity 2)
Cu 0.261 0.000 0.004 (multiplicity 2)
Br 0.455 0.000 0.500 (multiplicity 2)

---

The following is a SCAN calculation of a crystal of KAg5 relaxed with PBEsol, from Alexandria.

## Properties
ΔE_f: 0.08 eV/atom

Lattice parameters (Å, degrees): 7.813 7.813 7.813 90.00 90.00 90.00
Space group F-43m (No. 216)
Unique sites:
K 0.000 0.000 0.000 (multiplicity 4)
Ag 0.124 0.124 0.624 (multiplicity 16)
Ag 0.250 0.250 0.250 (multiplicity 4)

---

The following is a SCAN calculation of a crystal of MnTePb relaxed with PBEsol, from Alexandria.

## Properties
Formation energy from raw total energies: -0.07 eV per formula unit

Lattice parameters (Å, degrees): 4.5180 4.5180 4.1542 90.00 90.00 120.00
Space group P-6m2 (No. 187)
Unique sites:
Mn 0.0000 0.0000 0.0000 (multiplicity 1)
Te 0.6667 0.3333 0.0000 (multiplicity 1)
Pb 0.3333 0.6667 0.5000 (multiplicity 1)

---

The following is a SCAN calculation of a crystal of TaWN2O relaxed with PBEsol, from Alexandria.

## Properties
Formation energy from raw total energies: 0.75 eV per formula unit

Lattice parameters (Å, degrees): 4.049 4.049 3.789 90.00 90.00 90.00
Space group P4/mmm (No. 123)
Unique sites:
Ta 0.000 0.000 0.000 (multiplicity 1)
W 0.500 0.500 0.500 (multiplicity 1)
N 0.000 0.500 0.000 (multiplicity 2)
O 0.000 0.000 0.500 (multiplicity 1)

---

The following is a SCAN calculation of a crystal of La2SbBr2 relaxed with PBEsol, from Alexandria.

## Properties
Formation energy from raw total energies: -7.60 eV per formula unit

Lattice parameters (Å, degrees): 4.459 4.459 14.947 90.00 90.00 90.00
Space group I4/mmm (No. 139)
Unique sites:
La 0.000 0.000 0.113 (multiplicity 4)
Sb 0.000 0.000 0.500 (multiplicity 2)
Br 0.000 0.500 0.250 (multiplicity 4)

---

The following is a SCAN calculation of a crystal of CsRbYH2 relaxed with PBEsol, from Alexandria.

## Properties
Energy: -18.169 eV/atom

Lattice parameters (Å, degrees): 4.604 4.604 6.900 90.00 90.00 90.00
Space group P4/mmm (No. 123)
Unique sites:
Cs 0.000 0.000 0.000 (multiplicity 1)
Rb 0.500 0.500 0.000 (multiplicity 1)
Y 0.000 0.000 0.500 (multiplicity 1)
H 0.000 0.500 0.500 (multiplicity 2)

---

The following is a SCAN calculation of a crystal of Sc2ZnCo relaxed with PBEsol, from Alexandria.

## Properties
ΔE_f: -0.45 eV/atom

Lattice parameters (Å, degrees): 3.144 3.144 6.560 90.00 90.00 90.00
Space group P4/mmm (No. 123)
Unique sites:
Sc 0.000 0.000 0.229 (multiplicity 2)
Zn 0.500 0.500 0.500 (multiplicity 1)
Co 0.500 0.500 0.000 (multiplicity 1)

---

The following is a SCAN calculation of a crystal of FeMoS3 relaxed with PBEsol, from Alexandria.

## Properties
Formation energy from raw total energies: 2.66 eV per formula unit

Lattice parameters (Å, degrees): 4.305 4.305 4.305 90.00 90.00 90.00
Space group Pm-3m (No. 221)
Unique sites:
Fe 0.000 0.000 0.000 (multiplicity 1)
Mo 0.500 0.500 0.500 (multiplicity 1)
S 0.000 0.000 0.500 (multiplicity 3)

---

The following is a SCAN calculation of a crystal of ThAl4C4 relaxed with PBEsol, from Alexandria.

## Properties
ΔE_f: -0.32 eV/atom

Lattice parameters (Å, degrees): 8.193 8.193 3.322 90.00 90.00 90.00
Space group I4/m (No. 87)
Unique sites:
Th 0.000 0.000 0.000 (multiplicity 2)
Al 0.142 0.322 0.500 (multiplicity 8)
C 0.089 0.749 0.500 (multiplicity 8)

---

The following is a SCAN calculation of a crystal of Sr2CdTe relaxed with PBEsol, from Alexandria.

## Properties
Formation energy from raw total energies: -4.05 eV per formula unit
E above lowest polymorph: 0 meV/atom

Lattice parameters (Å, degrees): 4.076 4.076 7.661 90.00 90.00 90.00
Space group P4/mmm (No. 123)
Unique sites:
Sr 0.000 0.000 0.248 (multiplicity 2)
Cd 0.500 0.500 0.500 (multiplicity 1)
Te 0.500 0.500 0.000 (multiplicity 1)

---

The following is a SCAN calculation of a crystal of Ca5Y relaxed with PBEsol, from Alexandria.

## Properties
E above lowest polymorph: 13 meV/atom
ΔE_f: 0.07 eV/atom

Lattice parameters (Å, degrees): 14.104 3.758 9.031 90.00 106.12 90.00
Space group Cm (No. 8)
Unique sites:
Ca 0.000 0.000 0.000 (multiplicity 2)
Ca 0.053 0.000 0.621 (multiplicity 2)
Ca 0.164 0.500 0.332 (multiplicity 2)
Ca 0.325 0.000 0.681 (multiplicity 2)
Ca 0.384 0.000 0.272 (multiplicity 2)
Y 0.218 0.500 0.948 (multiplicity 2)

---

The following is a SCAN calculation of a crystal of BeZnCl relaxed with PBEsol, from Alexandria.

## Properties
Formation energy from raw total energies: 3.18 eV per formula unit

Lattice parameters (Å, degrees): 6.230 6.230 6.230 90.00 90.00 90.00
Space group F-43m (No. 216)
Unique sites:
Be 0.000 0.000 0.000 (multiplicity 4)
Zn 0.000 0.000 0.500 (multiplicity 4)
Cl 0.250 0.250 0.750 (multiplicity 4)

---

Total moment? In order: 0.00, 0.00, 0.06, 0.00, 1.66, 3.93, 0.00, 0.00, 0.00, 0.00, 9.14, 0.00, 0.00, 0.00, 0.00, 0.00, 3.40, 2.98, 0.99, 1.71, 0.70, 0.59, 0.00, 0.00, 0.79, 0.27 μB/f.u..